No. 1
Computed, not measured: crystalline Mg2TiS4 at its relaxed geometry at the PBE level of DFT.

Structure (POSCAR):
```
Mg2TiS4
1.0
1.718 -6.061 0.000
1.718 6.061 0.000
0.000 0.000 12.200
Mg Ti S
4 2 8
Cartesian
1.718 4.545 6.954
1.718 4.545 11.347
1.718 -4.545 0.854
1.718 -4.545 5.247
1.718 1.557 9.150
1.718 -1.557 3.050
1.718 5.854 9.150
1.718 3.412 1.522
1.718 3.412 4.578
1.718 0.000 0.000
1.718 0.000 6.100
1.718 -3.412 7.622
1.718 -3.412 10.679
1.718 -5.854 3.050
```

Space group ... Cmcm, No. 63
Energy relative to the elements, uncorrected ... -1.21 eV/atom

No. 2
Computed, not measured: crystalline Ag2RhCl6 at its relaxed geometry at the PBE level of DFT.

Structure (POSCAR):
```
Ag2RhCl6
1.0
6.541 0.000 0.000
0.000 6.285 0.000
-6.312 0.000 10.646
Ag Rh Cl
4 2 12
Cartesian
0.157 0.327 2.040
-2.999 2.816 7.363
3.228 3.470 3.283
0.072 5.958 8.606
3.270 0.000 0.000
0.114 3.143 5.323
-4.092 0.926 8.748
-0.936 2.216 3.425
-1.818 4.439 5.664
1.339 4.989 0.341
-0.869 1.448 6.654
2.287 1.695 1.331
-2.058 4.591 9.315
1.098 4.837 3.992
-1.110 1.296 10.305
2.046 1.847 4.982
1.165 4.069 7.221
4.321 5.359 1.898
```

Space group ... P2_1/c, No. 14
Energy relative to the elements, uncorrected ... -0.49 eV/atom

No. 3
Computed, not measured: crystalline Mn2InCl at its relaxed geometry at the PBE level of DFT.

Structure (POSCAR):
```
Mn2InCl
1.0
4.707 0.000 0.000
0.000 3.102 0.000
-0.869 0.000 5.169
Mn In Cl
2 1 1
Cartesian
0.000 0.000 0.000
-0.007 1.551 2.243
2.438 0.000 1.980
0.919 1.551 4.375
```

ΔE to the lowest computed polymorph ... 14.0 kJ/mol of atoms
Space group ... Pm, No. 6
Energy relative to the elements, uncorrected ... 0.18 eV/atom

No. 4
Computed, not measured: crystalline ScSb2OsI at its relaxed geometry at the PBE level of DFT.

Structure (POSCAR):
```
ScSb2OsI
1.0
5.092 0.000 0.000
0.000 5.092 0.000
0.000 0.000 5.627
Sc Sb Os I
1 2 1 1
Cartesian
0.000 0.000 0.000
0.000 2.546 2.813
2.546 0.000 2.813
2.546 2.546 2.813
2.546 2.546 0.000
```

ΔE to the lowest computed polymorph ... 0.0 kJ/mol of atoms
Space group ... P4/mmm, No. 123
Energy relative to the elements, uncorrected ... 0.60 eV/atom

No. 5
Computed, not measured: crystalline InSiSbO2 at its relaxed geometry at the PBE level of DFT.

Structure (POSCAR):
```
InSiSbO2
1.0
3.832 0.000 0.000
0.000 3.832 0.000
0.000 0.000 5.435
In Si Sb O
1 1 1 2
Cartesian
0.000 0.000 0.000
1.916 1.916 2.717
1.916 1.916 0.000
0.000 1.916 2.717
1.916 0.000 2.717
```

Space group ... P4/mmm, No. 123
Energy relative to the elements, uncorrected ... -0.58 eV/atom

No. 6
Computed, not measured: crystalline YFe3H6 at its relaxed geometry at the PBE level of DFT.

Structure (POSCAR):
```
YFe3H6
1.0
2.195 1.267 4.932
-2.195 1.267 4.932
0.000 -2.534 4.932
Y Fe H
1 3 6
Cartesian
0.000 0.000 0.000
0.000 0.000 2.731
0.000 0.000 6.919
0.000 0.000 11.800
-1.120 -0.612 5.729
-0.842 -1.093 7.975
1.090 -0.664 5.729
0.030 1.276 5.729
-0.525 1.275 7.975
1.367 -0.183 7.975
```

Space group ... R3, No. 146

No. 7
Computed, not measured: crystalline Li2PPt at its relaxed geometry at the PBE level of DFT.

Structure (POSCAR):
```
Li2PPt
1.0
-4.770 4.770 2.192
4.770 -4.770 2.192
4.770 4.770 -2.192
Li P Pt
4 2 2
Cartesian
0.180 2.385 0.548
-2.385 4.590 1.644
-0.180 7.154 0.548
2.385 4.949 1.644
0.000 0.000 0.000
0.000 4.770 1.096
4.770 0.000 1.096
0.000 0.000 2.192
```

Space group ... I-42d, No. 122

No. 8
Computed, not measured: crystalline TbPr5Nd at its relaxed geometry at the PBE level of DFT.

Structure (POSCAR):
```
TbPr5Nd
1.0
-2.985 4.443 6.103
2.985 -4.443 6.103
2.985 4.443 -6.103
Tb Pr Nd
1 5 1
Cartesian
0.000 0.000 0.000
2.985 1.567 0.000
0.000 0.000 3.054
0.000 4.443 0.000
0.000 0.000 9.151
0.000 2.876 6.103
0.000 0.000 6.103
```

Space group ... Immm, No. 71

no.,DOS(E_F) (states/eV/f.u.),total energy (eV/atom)
1,0.713,-5.148
2,9.029,-3.167
3,3.429,-5.549
4,5.778,-4.873
5,1.664,-5.020
6,5.022,-5.350
7,1.888,-4.247
8,13.774,-3.821